# 1
Compound: CrRe2Sb
Source: the Alexandria database
Functional: PBEsol
Structure: optimized geometry

Results
symmetry: Immm, No. 71
energy relative to the elements, uncorrected: 0.4818 eV per atom
total magnetization: 0.00 μB/f.u.
DOS(E_F): 5.07 states/eV/cell

The structure in extended XYZ format:
```
8
Lattice="3.168 0.000 0.000 0.000 4.265 0.000 0.000 0.000 8.853" Properties=species:S:1:pos:R:3 pbc="T T T"
Cr 0.000 0.000 0.000
Cr 1.584 2.133 4.426
Re 0.000 2.133 2.199
Re 0.000 2.133 6.654
Re 1.584 0.000 2.228
Re 1.584 0.000 6.625
Sb 0.000 0.000 4.426
Sb 1.584 2.133 0.000
```



# 2
Compound: ScCrRe
Source: the Alexandria database
Functional: PBEsol
Structure: optimized geometry

Results
symmetry: I4mm, No. 107
total magnetization: 0.00 μB/f.u.
DOS(E_F): 4.19 states/eV/cell
formation energy from the elements: -8 meV/atom

The structure in extended XYZ format:
```
6
Lattice="3.025 0.000 0.000 0.000 3.025 0.000 0.000 0.000 9.887" Properties=species:S:1:pos:R:3 pbc="T T T"
Sc 0.000 0.000 0.000
Sc 1.512 1.512 4.944
Cr 0.000 0.000 6.744
Cr 1.512 1.512 1.800
Re 0.000 0.000 3.078
Re 1.512 1.512 8.022
```